Record 1
SCAN Li2Co4O7F, PBEsol geometry; crystal system = monoclinic; ΔE_f (raw) = -23.26 eV per formula unit; DOS(E_F) = 0.110 states/eV per atom; symmetry = Cm, No. 8
1.0
4.864 -2.816 0.000
4.864 2.816 0.000
-3.189 0.000 4.619
Li Co O F
2 4 7 1
Direct
0.000 0.000 0.000
0.615 0.615 0.871
0.118 0.610 0.375
0.232 0.232 0.733
0.610 0.118 0.375
0.618 0.618 0.361
0.362 0.834 0.584
0.366 0.366 0.592
0.376 0.376 0.148
0.407 0.870 0.158
0.834 0.362 0.584
0.852 0.852 0.578
0.870 0.407 0.158
0.862 0.862 0.131

***

Record 2
SCAN FeGe2, PBEsol geometry; crystal system = tetragonal; uncorrected energy = -18.78 eV per atom; DOS(E_F) = 0.354 states/eV per atom; symmetry = I4/mcm, No. 140
1.0
-2.898 2.898 2.437
2.898 -2.898 2.437
2.898 2.898 -2.437
Fe Ge
2 4
Direct
0.250 0.250 0.000
0.750 0.750 0.000
0.157 0.657 0.813
0.343 0.157 0.500
0.657 0.843 0.500
0.843 0.343 0.187

***

Record 3
SCAN AlNiAs, PBEsol geometry; crystal system = cubic; uncorrected energy = -15.22 eV per atom; DOS(E_F) = 0.240 states/eV per atom; symmetry = F-43m, No. 216
1.0
0.000 2.804 2.804
2.804 0.000 2.804
2.804 2.804 0.000
Al Ni As
1 1 1
Direct
0.000 0.000 0.000
0.750 0.750 0.750
0.500 0.500 0.500

***

Record 4
SCAN MgScSb2, PBEsol geometry; crystal system = tetragonal; ΔE_f (raw) = -0.82 eV per formula unit; DOS(E_F) = 0.676 states/eV per atom; symmetry = P4mm, No. 99
1.0
3.159 0.000 0.000
0.000 3.159 0.000
0.000 0.000 9.891
Mg Sc Sb
1 1 2
Direct
0.000 0.000 0.000
0.500 0.500 0.758
0.000 0.000 0.545
0.500 0.500 0.223